Entry from the Alexandria database: a relaxed structure of RbCa4Pb5 (PBE).

## Properties
The formation enthalpy at 0 K is -4.18 eV/f.u. Its space-group type is P4/mmm, No. 123.

The structure in POSCAR format:
```
RbCa4Pb5
1.0
-3.598 -0.914 1.533
-0.954 -1.932 -3.389
7.674 -17.295 7.700
Ca Pb Rb
4 5 1
direct
0.000 0.000 0.404
0.000 0.000 0.784
0.000 0.000 0.216
0.000 0.000 0.596
0.500 0.500 0.870
0.500 0.500 0.500
0.500 0.500 0.309
0.500 0.500 0.130
0.500 0.500 0.691
0.000 0.000 0.000
```

---

Entry from the Alexandria database: a relaxed structure of BaPu2RuN4 (PBE).

## Properties
The formation energy (no corrections) is -79 kJ/mol of atoms. Its space-group type is Cmcm, No. 63.

The structure in POSCAR format:
```
BaPu2RuN4
1.0
-2.971 1.041 -1.613
3.956 -1.747 -4.538
-4.269 -11.242 0.607
Pu N Ru Ba
4 8 2 2
direct
0.632 0.264 0.049
0.368 0.736 0.951
0.632 0.264 0.451
0.368 0.736 0.549
0.248 0.495 0.403
0.752 0.505 0.903
0.000 0.000 0.500
0.399 0.798 0.750
0.752 0.505 0.597
0.000 0.000 0.000
0.601 0.202 0.250
0.248 0.495 0.097
0.816 0.633 0.750
0.184 0.367 0.250
0.918 0.836 0.250
0.082 0.164 0.750
```

---

Entry from the Alexandria database: a relaxed structure of HfFe2H (PBE).

## Properties
Its relative energy among the computed polymorphs is 0 meV per atom. Its space-group type is Fd-3m, No. 227.

The structure in POSCAR format:
```
HfFe2H
1.0
5.089 0.000 0.000
0.000 5.089 0.000
2.544 2.544 3.601
Fe H Hf
4 2 2
direct
0.875 0.625 0.750
0.375 0.625 0.250
0.375 0.625 0.750
0.375 0.125 0.250
0.500 0.500 0.000
0.250 0.750 0.500
0.000 0.000 0.000
0.750 0.250 0.500
```

---

Entry from the Alexandria database: a relaxed structure of BePb2O2 (PBE).

## Properties
The formation energy (no corrections) is -37 kJ/mol of atoms. Its relative energy among the computed polymorphs is 667 meV per atom. Its space-group type is P4/mbm, No. 127.

The structure in POSCAR format:
```
BePb2O2
1.0
5.926 0.000 0.000
0.000 5.926 0.000
0.000 0.000 4.609
Pb O Be
4 4 2
direct
0.681 0.819 0.500
0.819 0.319 0.500
0.181 0.681 0.500
0.319 0.181 0.500
0.730 0.230 0.000
0.270 0.770 0.000
0.230 0.270 0.000
0.770 0.730 0.000
0.000 0.000 0.000
0.500 0.500 0.000
```

---

Entry from the Alexandria database: a relaxed structure of AcNd2Zr (PBE).

## Properties
The formation enthalpy at 0 K is 0.77 eV/f.u. Its relative energy among the computed polymorphs is 12 meV per atom. Its space-group type is P4/mmm, No. 123.

The structure in POSCAR format:
```
AcNd2Zr
1.0
4.103 0.000 0.000
0.000 4.103 0.000
0.000 0.000 8.016
Zr Nd Ac
1 2 1
direct
0.500 0.500 0.000
0.000 0.000 0.796
0.000 0.000 0.204
0.500 0.500 0.500
```

---

Entry from the Alexandria database: a relaxed structure of Sr10In17Au27 (PBE).

## Properties
The formation enthalpy at 0 K is -28.83 eV/f.u. Its space-group type is Pm, No. 6.

The structure in POSCAR format:
```
Sr10In17Au27
1.0
-3.758 1.370 -2.567
-5.541 -2.159 6.961
2.542 27.613 11.018
Au In Sr
27 17 10
direct
0.000 0.462 0.075
0.000 0.475 0.186
0.500 0.513 0.816
0.500 0.670 0.302
0.000 0.332 0.806
0.000 0.044 0.249
0.000 0.487 0.315
0.000 0.881 0.886
0.000 0.336 0.694
0.000 0.349 0.941
0.000 0.100 0.439
0.500 0.524 0.927
0.500 0.952 0.750
0.500 0.911 0.560
0.500 0.099 0.117
0.500 0.660 0.438
0.500 0.902 0.941
0.500 0.654 0.194
0.500 0.517 0.684
0.500 0.537 0.573
0.500 0.129 0.386
0.000 0.362 0.559
0.000 0.488 0.424
0.500 0.636 0.060
0.500 0.984 0.303
0.000 0.890 0.615
0.000 0.085 0.062
0.500 0.808 0.839
0.000 0.186 0.336
0.500 0.946 0.465
0.500 0.417 0.131
0.000 0.033 0.699
0.500 0.814 0.662
0.500 0.954 0.204
0.000 0.720 0.248
0.500 0.280 0.750
0.000 0.058 0.966
0.000 0.180 0.162
0.500 0.927 0.036
0.000 0.575 0.630
0.000 0.567 0.870
0.000 0.072 0.535
0.000 0.030 0.802
0.500 0.440 0.369
0.000 0.665 0.750
0.500 0.306 0.017
0.000 0.679 0.985
0.500 0.326 0.483
0.000 0.789 0.125
0.500 0.208 0.624
0.000 0.816 0.369
0.500 0.325 0.252
0.500 0.199 0.876
0.000 0.696 0.514
```

---

| no. | V (Å³/atom) |
| --- | --- |
| 1 | 32.9 |
| 2 | 16.0 |
| 3 | 11.7 |
| 4 | 16.2 |
| 5 | 33.7 |
| 6 | 24.0 |